(1)
20
Lattice="-0.931 -5.907 -4.845 -5.465 -6.457 5.095 -7.947 2.472 -5.316" Properties=species:S:1:pos:R:3 comment="LiTlFe2Br6, relaxed, DFT GGA-PBE" raw_formation_energy_ev_per_atom=-0.69 sg="C2/c (15)" pbc="T T T"
Br -12.618 -6.851 -4.412
Br -1.726 -3.041 -0.654
Br -11.741 -5.374 -0.268
Br -5.165 -4.697 -1.780
Br -9.178 -5.195 -3.286
Br -9.715 -5.968 -7.043
Br -4.629 -3.924 1.977
Br -2.602 -4.518 -4.798
Br -6.222 -2.820 -5.175
Br -8.442 -3.216 0.272
Br -8.122 -7.072 0.109
Br -5.902 -6.676 -5.338
Fe -10.205 -6.834 -4.830
Fe -4.977 -4.671 -4.221
Fe -4.139 -3.058 -0.236
Fe -9.367 -5.221 -0.845
Tl -8.346 -3.036 -7.692
Tl -5.998 -6.856 2.626
Li -6.697 -8.971 -0.773
Li -7.647 -0.921 -4.292

(2)
7
Lattice="7.233 0.000 0.000 0.000 7.233 0.000 -3.616 -3.616 4.721" Properties=species:S:1:pos:R:3 comment="LiTlFeBr4, relaxed, DFT GGA-PBE" raw_formation_energy_ev_per_atom=-0.84 sg="I-4 (82)" pbc="T T T"
Fe 0.000 3.616 2.360
Tl 0.000 0.000 0.000
Li 3.616 3.616 0.000
Br 1.871 4.867 1.371
Br -1.251 -1.745 3.350
Br 1.251 1.745 3.350
Br 5.361 2.365 1.371

(3)
10
Lattice="6.476 0.000 0.000 0.000 7.313 0.000 0.000 -3.657 6.333" Properties=species:S:1:pos:R:3 comment="LiTl2FeBr6, relaxed, DFT GGA-PBE" raw_formation_energy_ev_per_atom=-0.75 sg="P-3m1 (164)" pbc="T T T"
Br 1.430 3.657 4.342
Br 1.430 1.724 0.996
Br 5.047 1.932 5.338
Br 5.047 -1.932 5.338
Br 1.430 5.589 0.996
Br 5.047 0.000 1.991
Tl 5.373 3.657 2.111
Tl 1.103 0.000 4.222
Li 3.238 0.000 0.000
Fe 0.000 0.000 0.000

(4)
5
Lattice="-2.459 2.709 2.908 -4.963 -2.252 -2.099 0.148 -3.355 3.251" Properties=species:S:1:pos:R:3 comment="LiYFeBr2, relaxed, DFT GGA-PBE" raw_formation_energy_ev_per_atom=0.16 sg="P4/mmm (123)" pbc="T T T"
Fe -3.637 -1.449 2.030
Br 0.074 -1.678 1.625
Br -1.230 1.355 1.454
Li 0.000 0.000 0.000
Y -2.482 -1.126 -1.049

Looking at energy for the records above, in order, we have -3.8110 -3.6117 -3.2680 -3.8782 eV per atom.